VASP calculation (PBE) on a geometry-optimized Rb2In2Au3 structure.

Unit cell a=4.6683 b=6.8823 c=8.0285 alpha=122.25 beta=90.00 gamma=109.83
Atoms (fractional coordinates):
Rb (0.8408, 0.6817, 0.2019)
Rb (0.1592, 0.3183, 0.7981)
In (0.8564, 0.7127, 0.7207)
In (0.1436, 0.2873, 0.2793)
Au (0.5000, 0.0000, 0.0000)
Au (0.5856, 0.1711, 0.4299)
Au (0.4144, 0.8289, 0.5701)

Values from the calculation:
- Offset from the most stable computed form: 0.038 eV per atom
- Total magnetic moment: 0.00 μB/cell
- Volume: 200 Å³ per cell
- Space group: C2/m
- Energy of formation: -20.8 kJ per mole of atoms